#a
# TbSc2Tl2

An optimized crystal structure of TbSc2Tl2 (PBE, the Alexandria database).

Summary:
As for the crystal system: trigonal.

a b c (Å): 5.0208 5.0208 17.5913
angles (deg): 90.00 90.00 120.00
Last column: nearest neighbours and their distance in Å.
Space group R-3m (No. 166, hexagonal axes)
Asymmetric unit:
Tb 0.0000 0.0000 0.0000  6 Tl 3.21
Sc 0.0000 0.0000 0.2057  3 Tl 3.02, 3 Sc 3.21
Tl 0.0000 0.0000 0.4122  3 Sc 3.02, 1 Tl 3.09, 3 Tb 3.21

#b
# TbSc2Tl2

An optimized crystal structure of TbSc2Tl2 (PBE, the Alexandria database).

Summary:
As for the crystal system: orthorhombic.

a b c (Å): 5.3166 7.8528 6.5783
angles (deg): 90.00 90.00 90.00
Last column: nearest neighbours and their distance in Å.
Space group Cmmm (No. 65)
Asymmetric unit:
Tb 0.0000 0.0000 0.0000  4 Tl 3.14
Sc 0.0000 0.1788 0.5000  3 Sc 2.81-2.88, 2 Tl 3.00
Tl 0.0000 0.5000 0.2531  2 Sc 3.00, 2 Tb 3.14, 2 Tl 3.25-3.33

#a takes first place; second place is 31.4 kJ/mol of atoms up.

#a
# TbTmScTl

An optimized crystal structure of TbTmScTl (PBE, the Alexandria database).

Summary:
As for the crystal system: orthorhombic.

a b c (Å): 4.7103 4.7294 4.7634
angles (deg): 90.00 90.00 90.00
Last column: nearest neighbours and their distance in Å.
Space group Pmmm (No. 47)
Asymmetric unit:
Tb 0.0000 0.0000 0.0000  4 Sc 3.34, 4 Tl 3.35, 4 Tm 3.36
Tm 0.0000 0.5000 0.5000  4 Tl 3.34, 4 Sc 3.35, 4 Tb 3.36
Sc 0.5000 0.5000 0.0000  4 Tb 3.34, 4 Tm 3.35, 4 Tl 3.36
Tl 0.5000 0.0000 0.5000  4 Tm 3.34, 4 Tb 3.35, 4 Sc 3.36

#b
# TbTmScTl

An optimized crystal structure of TbTmScTl (PBE, the Alexandria database).

Summary:
As for the crystal system: cubic.

a b c (Å): 7.5594 7.5594 7.5594
angles (deg): 90.00 90.00 90.00
Last column: nearest neighbours and their distance in Å.
Space group F-43m (No. 216)
Asymmetric unit:
Tb 0.0000 0.0000 0.0000  4 Tl 3.27, 4 Sc 3.27
Tm 0.0000 0.0000 0.5000  4 Tl 3.27, 4 Sc 3.27
Sc 0.2500 0.2500 0.2500  4 Tb 3.27, 4 Tm 3.27
Tl 0.2500 0.2500 0.7500  4 Tb 3.27, 4 Tm 3.27

#a takes first place; second place is 12.1 kJ/mol of atoms up.